! PBE-GGA SmGdGa, relaxed; values from VASP
&SYSTEM
  ibrav = 0, nat = 3, ntyp = 3
/
ATOMIC_SPECIES
Sm 150.36 Sm.upf
Ga 69.72 Ga.upf
Gd 157.25 Gd.upf
ATOMIC_POSITIONS crystal
Sm 0.5000 0.5000 0.5000
Ga 0.2500 0.2500 0.2500
Gd 0.0000 0.0000 0.0000
CELL_PARAMETERS angstrom
-1.7034 -0.3118 4.7274
2.5666 -2.6429 3.4313
2.4271 2.3818 3.7125
! Distance to the lowest polymorph of the same formula ... 2.19 kcal/mol of atoms
! Calculated total energy ... -22.62 eV for the cell shown
! Theoretical density ... 6.9 g cm⁻³
! SG ... F-43m, No. 216
! Formation enthalpy at 0 K ... -0.265 eV per atom